No. 1
VASP calculation (GGA-PBEsol) on SrLi2S2 after structural relaxation.

Lattice parameters (Å, degrees): 3.801 3.801 6.832 106.15 106.15 90.00
Fractional coordinates of all 5 atoms:
Sr: 0.000 0.000 0.000
Li: 0.750 0.250 0.500
S: 0.633 0.633 0.267
Li: 0.250 0.750 0.500
S: 0.367 0.367 0.733

Calculated values
- Symmetry: No. 139


No. 2
VASP calculation (GGA-PBEsol) on LiTa2S after structural relaxation.

Lattice parameters (Å, degrees): 3.741 3.741 9.690 101.13 101.13 90.00
Fractional coordinates of all 8 atoms:
Ta: 0.625 0.633 0.750
S: 0.000 0.000 0.000
Ta: 0.883 0.375 0.250
Ta: 0.125 0.117 0.750
Ta: 0.367 0.875 0.250
Li: 0.750 0.250 0.500
S: 0.250 0.750 0.500
Li: 0.500 0.500 0.000

Calculated values
- Symmetry: No. 122


| no. | spin magnetization (μB/atom) | uncorrected energy (eV per atom) | ΔE_f (raw) (kJ/mol of atoms) |
| --- | --- | --- | --- |
| 1 | 0.000 | -4.514 | -154.9 |
| 2 | 0.000 | -7.631 | 22.4 |